Entry from Alexandria: a relaxed LiAl2Ni2 crystal (PBE).

The space group is I4/mmm (No. 139) and the conventional cell measures 3.653, 3.653 and 11.315 Å, with angles of 90.00, 90.00 and 90.00 degrees. The asymmetric unit holds Li at (0.000, 0.000, 0.000), Al at (0.000, 0.000, 0.383) and Ni at (0.000, 0.500, 0.250).

Entry from Alexandria: a relaxed LiAl2Ni3 crystal (PBE).

The space group is P4/mmm (No. 123) and the conventional cell measures 2.829, 2.829 and 8.888 Å, with angles of 90.00, 90.00 and 90.00 degrees. The asymmetric unit holds Li at (0.000, 0.000, 0.000), Al at (0.000, 0.000, 0.329), Ni at (0.500, 0.500, 0.169) and Ni at (0.500, 0.500, 0.500).

Number 1: energy of formation -0.18 eV per atom, volume 151.0 Å³/cell. Number 2: energy of formation -0.45 eV per atom, volume 71.1 Å³/cell.